[1]
A relaxed structure of KCa2MgAu, computed with PBE.

D(E_F) = 0.823 states/eV per atom
volume = 36.9 Å³/atom
uncorrected energy = -2.2303 eV/atom
SG = No. 123
M_tot = 0.0 μB/f.u.

Geometry as POSCAR:
```
KCa2MgAu
1.0
5.8696 0.0000 0.0000
0.0000 5.8696 0.0000
0.0000 0.0000 5.3595
Ca K Mg Au
2 1 1 1
direct
0.5000 0.0000 0.0000
0.0000 0.5000 0.0000
0.5000 0.5000 0.5000
0.0000 0.0000 0.5000
0.0000 0.0000 0.0000
```

[2]
A relaxed structure of ScInSbI2, computed with PBE.

D(E_F) = 0.921 states/eV per atom
volume = 38.5 Å³/atom
uncorrected energy = -2.9431 eV/atom
SG = No. 123
M_tot = 0.5 μB/f.u.
energy above the most stable polymorph in this dataset = 0.700 eV/atom
formation energy from raw total energies = 0.315 eV per atom

Geometry as POSCAR:
```
ScInSbI2
1.0
-1.6489 -3.1151 -4.5713
5.5103 -0.5044 -1.6439
0.4880 -4.8360 3.1194
I Sc Sb In
2 1 1 1
direct
0.5000 0.0000 0.0000
0.0000 0.5000 0.0000
0.5000 0.5000 0.5000
0.0000 0.0000 0.5000
0.0000 0.0000 0.0000
```